Here is a relaxed YMn2Cu crystal from Alexandria. Energies are from PBE.

Calculated values
The calculation puts the total magnetization at 22.4 Bohr magnetons per cell. Its formation energy is 536 meV per atom. The crystal system is trigonal. The total energy comes out at -6.69 eV/atom. The distance to the lowest polymorph of the same formula comes out at 498 meV per atom.

a b c (Å): 3.1396 3.1396 26.1461
angles (deg): 90.00 90.00 120.00
Space group R-3m (No. 166, hexagonal axes)
One atom of each set of equivalent atoms:
Y (0.0000, 0.0000, 0.0000) x3
Mn (0.0000, 0.0000, 0.2369) x6
Cu (0.0000, 0.0000, 0.5000) x3